1.
This record from Alexandria describes a geometry-optimized LaTmBi structure. The functional is PBE-GGA.

## Properties
The space group is P2_13 (198). As for the crystal system: cubic. As for the calculated formation energy: -0.320 eV per atom. The uncorrected energy is -56.97 eV for the cell shown. Its density of states at the Fermi level is 14.1 states/eV/cell. Its calculated density is 8.2 g/cm3.

a b c (Å): 7.4806 7.4806 7.4806
angles (deg): 90.00 90.00 90.00
Fractional positions:
La 0.0003 0.0003 0.0003
La 0.9997 0.5003 0.4997
La 0.4997 0.9997 0.5003
La 0.5003 0.4997 0.9997
Tm 0.0000 0.0000 0.5000
Tm 0.0000 0.5000 0.0000
Tm 0.5000 0.0000 0.0000
Tm 0.5000 0.5000 0.5000
Bi 0.2502 0.2502 0.2502
Bi 0.2498 0.7498 0.7502
Bi 0.7502 0.2498 0.7498
Bi 0.7498 0.7502 0.2498

=====

2.
This record from Alexandria describes a geometry-optimized La2TmBi4 structure. The functional is PBE-GGA.

## Properties
The space group is P-4m2 (115). As for the crystal system: tetragonal. As for the calculated formation energy: -0.697 eV per atom. The uncorrected energy is -34.73 eV for the cell shown. Its density of states at the Fermi level is 2.6 states/eV/cell. Its calculated density is 8.6 g/cm3.

a b c (Å): 4.5433 4.5433 11.9362
angles (deg): 90.00 90.00 90.00
Fractional positions:
La 0.0000 0.5000 0.2165
La 0.5000 0.0000 0.7835
Tm 0.0000 0.0000 0.5000
Bi 0.0000 0.0000 0.0000
Bi 0.0000 0.5000 0.6738
Bi 0.5000 0.0000 0.3262
Bi 0.5000 0.5000 0.0000

=====

3.
This record from Alexandria describes a geometry-optimized La2TmBi3 structure. The functional is PBE-GGA.

## Properties
The space group is Immm (71). For the polymorph energy (0 for the lowest one), the calculation gives 0.000 eV per formula unit. As for the crystal system: orthorhombic. As for the calculated formation energy: -0.949 eV per atom. The uncorrected energy is -31.66 eV for the cell shown. Its density of states at the Fermi level is 0.8 states/eV/cell. Its calculated density is 8.5 g/cm3.

a b c (Å): 7.9841 7.9841 7.9841
angles (deg): 146.35 131.55 60.29
Fractional positions:
La 0.1689 0.1689 0.0000
La 0.8311 0.8311 0.0000
Tm 0.5000 0.5000 0.0000
Bi 0.0000 0.5000 0.5000
Bi 0.3421 0.8421 0.5000
Bi 0.6579 0.1579 0.5000

=====

4.
This record from Alexandria describes a geometry-optimized La4YTm3Bi8 structure. The functional is PBE-GGA.

## Properties
The space group is R-3m (166). As for the crystal system: trigonal. As for the calculated formation energy: -0.930 eV per atom. The uncorrected energy is -85.51 eV for the cell shown. Its density of states at the Fermi level is 3.2 states/eV/cell. Its calculated density is 8.6 g/cm3.

a b c (Å): 9.1325 9.1325 9.1325
angles (deg): 60.30 60.30 60.30
Fractional positions:
La 0.0000 0.0000 0.0000
La 0.0000 0.5000 0.5000
La 0.5000 0.0000 0.5000
La 0.5000 0.5000 0.0000
Y 0.5000 0.5000 0.5000
Tm 0.0000 0.0000 0.5000
Tm 0.0000 0.5000 0.0000
Tm 0.5000 0.0000 0.0000
Bi 0.2434 0.7459 0.7459
Bi 0.2446 0.2446 0.2446
Bi 0.2541 0.2541 0.7566
Bi 0.2541 0.7566 0.2541
Bi 0.7459 0.2434 0.7459
Bi 0.7459 0.7459 0.2434
Bi 0.7554 0.7554 0.7554
Bi 0.7566 0.2541 0.2541

=====

5.
This record from Alexandria describes a geometry-optimized La2Y3TmBi6 structure. The functional is PBE-GGA.

## Properties
The space group is C2/m (12). As for the crystal system: monoclinic. As for the calculated formation energy: -0.923 eV per atom. The uncorrected energy is -68.08 eV for the cell shown. Its density of states at the Fermi level is 2.3 states/eV/cell. Its calculated density is 8.2 g/cm3.

a b c (Å): 7.8876 7.8876 7.8783
angles (deg): 99.63 99.63 120.03
Fractional positions:
La 0.1653 0.8347 0.0000
La 0.8347 0.1653 0.0000
Y 0.0000 0.0000 0.5000
Y 0.3292 0.6708 0.5000
Y 0.6708 0.3292 0.5000
Tm 0.5000 0.5000 0.0000
Bi 0.0908 0.4154 0.7444
Bi 0.2632 0.2632 0.2595
Bi 0.4154 0.0908 0.7444
Bi 0.5846 0.9092 0.2556
Bi 0.7368 0.7368 0.7405
Bi 0.9092 0.5846 0.2556

=====

6.
This record from Alexandria describes a geometry-optimized LaVBi3 structure. The functional is PBE-GGA.

## Properties
The space group is Pm-3m (221). For the polymorph energy (0 for the lowest one), the calculation gives 5.151 eV per formula unit. As for the crystal system: cubic. As for the calculated formation energy: 1.040 eV per atom. The uncorrected energy is -20.49 eV for the cell shown. Its density of states at the Fermi level is 10.2 states/eV/cell. Its calculated density is 6.0 g/cm3.

a b c (Å): 6.0916 6.0916 6.0916
angles (deg): 90.00 90.00 90.00
Fractional positions:
La 0.0000 0.0000 0.0000
V 0.5000 0.5000 0.5000
Bi 0.0000 0.0000 0.5000
Bi 0.0000 0.5000 0.0000
Bi 0.5000 0.0000 0.0000

=====

7.
This record from Alexandria describes a geometry-optimized La3VBi structure. The functional is PBE-GGA.

## Properties
The space group is Pm-3m (221). As for the crystal system: cubic. As for the calculated formation energy: -0.090 eV per atom. The uncorrected energy is -28.23 eV for the cell shown. Its density of states at the Fermi level is 6.1 states/eV/cell. Its calculated density is 7.3 g/cm3.

a b c (Å): 5.3582 5.3582 5.3582
angles (deg): 90.00 90.00 90.00
Fractional positions:
La 0.0000 0.0000 0.5000
La 0.0000 0.5000 0.0000
La 0.5000 0.0000 0.0000
V 0.0000 0.0000 0.0000
Bi 0.5000 0.5000 0.5000

=====

8.
This record from Alexandria describes a geometry-optimized LaV2Bi structure. The functional is PBE-GGA.

## Properties
The space group is I-42d (122). As for the crystal system: tetragonal. As for the calculated formation energy: 0.749 eV per atom. The uncorrected energy is -48.10 eV for the cell shown. Its density of states at the Fermi level is 12.4 states/eV/cell. Its calculated density is 6.9 g/cm3.

a b c (Å): 6.6320 6.6320 6.6320
angles (deg): 103.77 103.77 121.59
Fractional positions:
La 0.0000 0.0000 0.0000
La 0.7500 0.2500 0.5000
V 0.1651 0.6250 0.0401
V 0.3750 0.4151 0.5401
V 0.5849 0.1250 0.9599
V 0.8750 0.8349 0.4599
Bi 0.2500 0.7500 0.5000
Bi 0.5000 0.5000 0.0000

=====

9.
This record from Alexandria describes a geometry-optimized LaVBi3 structure. The functional is PBE-GGA.

## Properties
The space group is Pm-3m (221). For the polymorph energy (0 for the lowest one), the calculation gives 0.000 eV per formula unit. As for the crystal system: cubic. As for the calculated formation energy: 0.010 eV per atom. The uncorrected energy is -25.64 eV for the cell shown. Its density of states at the Fermi level is 5.9 states/eV/cell. Its calculated density is 8.8 g/cm3.

a b c (Å): 5.3702 5.3702 5.3702
angles (deg): 90.00 90.00 90.00
Fractional positions:
La 0.0000 0.0000 0.0000
V 0.5000 0.5000 0.5000
Bi 0.0000 0.5000 0.5000
Bi 0.5000 0.0000 0.5000
Bi 0.5000 0.5000 0.0000

=====

10.
This record from Alexandria describes a geometry-optimized LaV3Bi structure. The functional is PBE-GGA.

## Properties
The space group is Pm-3m (221). For the polymorph energy (0 for the lowest one), the calculation gives 1.883 eV per formula unit. As for the crystal system: cubic. As for the calculated formation energy: 1.576 eV per atom. The uncorrected energy is -28.28 eV for the cell shown. Its density of states at the Fermi level is 8.4 states/eV/cell. Its calculated density is 7.8 g/cm3.

a b c (Å): 4.7324 4.7324 4.7324
angles (deg): 90.00 90.00 90.00
Fractional positions:
La 0.0000 0.0000 0.0000
V 0.0000 0.0000 0.5000
V 0.0000 0.5000 0.0000
V 0.5000 0.0000 0.0000
Bi 0.5000 0.5000 0.5000

=====

11.
This record from Alexandria describes a geometry-optimized LaV3Bi structure. The functional is PBE-GGA.

## Properties
The space group is Pm-3m (221). For the polymorph energy (0 for the lowest one), the calculation gives 0.000 eV per formula unit. As for the crystal system: cubic. As for the calculated formation energy: 1.199 eV per atom. The uncorrected energy is -30.17 eV for the cell shown. Its density of states at the Fermi level is 6.4 states/eV/cell. Its calculated density is 5.9 g/cm3.

a b c (Å): 5.2014 5.2014 5.2014
angles (deg): 90.00 90.00 90.00
Fractional positions:
La 0.0000 0.0000 0.0000
V 0.0000 0.5000 0.5000
V 0.5000 0.0000 0.5000
V 0.5000 0.5000 0.0000
Bi 0.5000 0.5000 0.5000

=====

12.
This record from Alexandria describes a geometry-optimized LaV2BiW structure. The functional is PBE-GGA.

## Properties
The space group is P4/mmm (123). As for the crystal system: tetragonal. As for the calculated formation energy: 1.970 eV per atom. The uncorrected energy is -30.15 eV for the cell shown. Its density of states at the Fermi level is 8.2 states/eV/cell. Its calculated density is 9.5 g/cm3.

a b c (Å): 4.6903 4.6903 5.0517
angles (deg): 90.00 90.00 90.00
Fractional positions:
La 0.0000 0.0000 0.0000
V 0.0000 0.5000 0.0000
V 0.5000 0.0000 0.0000
Bi 0.5000 0.5000 0.5000
W 0.0000 0.0000 0.5000

=====

13.
This record from Alexandria describes a geometry-optimized LaBi3W structure. The functional is PBE-GGA.

## Properties
The space group is Pm-3m (221). For the polymorph energy (0 for the lowest one), the calculation gives 8.172 eV per formula unit. As for the crystal system: cubic. As for the calculated formation energy: 2.069 eV per atom. The uncorrected energy is -19.18 eV for the cell shown. Its density of states at the Fermi level is 19.1 states/eV/cell. Its calculated density is 7.6 g/cm3.

a b c (Å): 5.9312 5.9312 5.9312
angles (deg): 90.00 90.00 90.00
Fractional positions:
La 0.0000 0.0000 0.0000
Bi 0.0000 0.0000 0.5000
Bi 0.0000 0.5000 0.0000
Bi 0.5000 0.0000 0.0000
W 0.5000 0.5000 0.5000

=====

14.
This record from Alexandria describes a geometry-optimized La2BiW structure. The functional is PBE-GGA.

## Properties
The space group is I-42d (122). As for the crystal system: tetragonal. As for the calculated formation energy: 0.416 eV per atom. The uncorrected energy is -50.05 eV for the cell shown. Its density of states at the Fermi level is 12.4 states/eV/cell. Its calculated density is 9.5 g/cm3.

a b c (Å): 6.8777 6.8777 6.8777
angles (deg): 101.63 101.63 126.65
Fractional positions:
La 0.0608 0.6250 0.9358
La 0.3750 0.3108 0.4358
La 0.6892 0.1250 0.0642
La 0.8750 0.9392 0.5642
Bi 0.2500 0.7500 0.5000
Bi 0.5000 0.5000 0.0000
W 0.0000 0.0000 0.0000
W 0.7500 0.2500 0.5000

=====

15.
This record from Alexandria describes a geometry-optimized LaBi3W structure. The functional is PBE-GGA.

## Properties
The space group is Pm-3m (221). For the polymorph energy (0 for the lowest one), the calculation gives 0.000 eV per formula unit. As for the crystal system: cubic. As for the calculated formation energy: 0.435 eV per atom. The uncorrected energy is -27.35 eV for the cell shown. Its density of states at the Fermi level is 5.2 states/eV/cell. Its calculated density is 9.7 g/cm3.

a b c (Å): 5.4594 5.4594 5.4594
angles (deg): 90.00 90.00 90.00
Fractional positions:
La 0.0000 0.0000 0.0000
Bi 0.0000 0.5000 0.5000
Bi 0.5000 0.0000 0.5000
Bi 0.5000 0.5000 0.0000
W 0.5000 0.5000 0.5000

=====

16.
This record from Alexandria describes a geometry-optimized LaBiW3 structure. The functional is PBE-GGA.

## Properties
The space group is Pm-3m (221). For the polymorph energy (0 for the lowest one), the calculation gives 2.246 eV per formula unit. As for the crystal system: cubic. As for the calculated formation energy: 2.785 eV per atom. The uncorrected energy is -33.74 eV for the cell shown. Its density of states at the Fermi level is 9.0 states/eV/cell. Its calculated density is 12.3 g/cm3.

a b c (Å): 4.9565 4.9565 4.9565
angles (deg): 90.00 90.00 90.00
Fractional positions:
La 0.0000 0.0000 0.0000
Bi 0.5000 0.5000 0.5000
W 0.0000 0.0000 0.5000
W 0.0000 0.5000 0.0000
W 0.5000 0.0000 0.0000

=====

17.
This record from Alexandria describes a geometry-optimized LaBiW3 structure. The functional is PBE-GGA.

## Properties
The space group is Pm-3m (221). For the polymorph energy (0 for the lowest one), the calculation gives 0.000 eV per formula unit. As for the crystal system: cubic. As for the calculated formation energy: 2.336 eV per atom. The uncorrected energy is -35.99 eV for the cell shown. Its density of states at the Fermi level is 7.4 states/eV/cell. Its calculated density is 11.2 g/cm3.

a b c (Å): 5.1048 5.1048 5.1048
angles (deg): 90.00 90.00 90.00
Fractional positions:
La 0.0000 0.0000 0.0000
Bi 0.5000 0.5000 0.5000
W 0.0000 0.5000 0.5000
W 0.5000 0.0000 0.5000
W 0.5000 0.5000 0.0000

=====

18.
This record from Alexandria describes a geometry-optimized LaBi2W structure. The functional is PBE-GGA.

## Properties
The space group is I-42d (122). For the polymorph energy (0 for the lowest one), the calculation gives 1.610 eV per formula unit. As for the crystal system: tetragonal. As for the calculated formation energy: 0.674 eV per atom. The uncorrected energy is -45.89 eV for the cell shown. Its density of states at the Fermi level is 8.2 states/eV/cell. Its calculated density is 10.5 g/cm3.

a b c (Å): 11.3752 11.3752 11.3752
angles (deg): 156.45 156.45 33.55
Fractional positions:
La 0.0000 0.0000 0.0000
La 0.7500 0.2500 0.5000
Bi 0.1550 0.6250 0.0300
Bi 0.3750 0.4050 0.5300
Bi 0.5950 0.1250 0.9700
Bi 0.8750 0.8450 0.4700
W 0.2500 0.7500 0.5000
W 0.5000 0.5000 0.0000

=====

19.
This record from Alexandria describes a geometry-optimized LaBi2W structure. The functional is PBE-GGA.

## Properties
The space group is Fm-3m (225). For the polymorph energy (0 for the lowest one), the calculation gives 0.000 eV per formula unit. As for the crystal system: cubic. As for the calculated formation energy: 0.271 eV per atom. The uncorrected energy is -24.56 eV for the cell shown. Its density of states at the Fermi level is 4.2 states/eV/cell. Its calculated density is 12.2 g/cm3.

a b c (Å): 5.2246 5.2246 5.2246
angles (deg): 60.00 60.00 60.00
Fractional positions:
La 0.0000 0.0000 0.0000
Bi 0.2500 0.2500 0.2500
Bi 0.7500 0.7500 0.7500
W 0.5000 0.5000 0.5000

=====

20.
This record from Alexandria describes a geometry-optimized La3BiW structure. The functional is PBE-GGA.

## Properties
The space group is Pm-3m (221). For the polymorph energy (0 for the lowest one), the calculation gives 0.000 eV per formula unit. As for the crystal system: cubic. As for the calculated formation energy: 0.024 eV per atom. The uncorrected energy is -31.50 eV for the cell shown. Its density of states at the Fermi level is 3.0 states/eV/cell. Its calculated density is 7.9 g/cm3.

a b c (Å): 5.5399 5.5399 5.5399
angles (deg): 90.00 90.00 90.00
Fractional positions:
La 0.0000 0.0000 0.5000
La 0.0000 0.5000 0.0000
La 0.5000 0.0000 0.0000
Bi 0.5000 0.5000 0.5000
W 0.0000 0.0000 0.0000